Entry 1:
A relaxed CrPbW2 crystal. Source: the Alexandria database, functional GGA-PBEsol. Values from VASP.

The structure in Quantum ESPRESSO input format:
```
&SYSTEM
  ibrav = 0, nat = 4, ntyp = 3
/
ATOMIC_SPECIES
Cr 52.00 Cr.upf
Pb 207.20 Pb.upf
W 183.84 W.upf
CELL_PARAMETERS angstrom
-0.1349 0.9461 2.7972
-2.9016 0.4773 -0.3014
-1.4257 -7.1770 2.3587
ATOMIC_POSITIONS angstrom
Cr -1.5182 0.7117 1.2479
Pb -2.2311 -2.8768 2.4272
W -1.1496 -5.7869 1.9019
W -0.2761 -1.3900 0.4568
```

***

Entry 2:
A relaxed YCrPb2 crystal. Source: the Alexandria database, functional GGA-PBEsol. Values from VASP.

The structure in Quantum ESPRESSO input format:
```
&SYSTEM
  ibrav = 0, nat = 4, ntyp = 3
/
ATOMIC_SPECIES
Pb 207.20 Pb.upf
Y 88.91 Y.upf
Cr 52.00 Cr.upf
CELL_PARAMETERS angstrom
-3.2606 0.9165 2.7156
-2.1490 -3.5034 -1.3980
4.9188 -1.5018 2.9428
ATOMIC_POSITIONS angstrom
Pb -2.7048 -1.2934 0.6588
Y 0.0000 0.0000 0.0000
Pb 0.0325 -3.1493 1.1018
Cr -0.5233 -0.9394 3.1586
```

***

Entry 3:
A relaxed YCr3Pb crystal. Source: the Alexandria database, functional GGA-PBEsol. Values from VASP.

The structure in Quantum ESPRESSO input format:
```
&SYSTEM
  ibrav = 0, nat = 5, ntyp = 3
/
ATOMIC_SPECIES
Cr 52.00 Cr.upf
Pb 207.20 Pb.upf
Y 88.91 Y.upf
CELL_PARAMETERS angstrom
4.9188 0.0000 0.0000
0.0000 4.9188 0.0000
0.0000 0.0000 4.9188
ATOMIC_POSITIONS angstrom
Cr 0.0000 2.4594 0.0000
Pb 2.4594 2.4594 2.4594
Y 0.0000 0.0000 0.0000
Cr 2.4594 0.0000 0.0000
Cr 0.0000 0.0000 2.4594
```

***

no.,density (Mg/m³),total DFT energy (no corrections) (eV/atom),E_form (eV per formula unit)
1,15.50,-9.761,2.81
2,9.65,-6.200,0.26
3,6.31,-6.372,9.69